## i
Compound: NdEuBi2
Source: Alexandria via LeMat-Bulk
Functional: PBE
Structure: relaxed

The space group is R-3m (No. 166, hexagonal axes) and the conventional cell measures 4.6108, 4.6108 and 23.1528 Å, with angles of 90.00, 90.00 and 120.00 degrees. The inequivalent atoms are Nd at (0.0000, 0.0000, 0.0000), Eu at (0.0000, 0.0000, 0.5000) and Bi at (0.0000, 0.0000, 0.2517).

As for the calculated volume: 142.09 Å³/f.u. The total magnetization comes out at 1.67 μB/atom. The density of states at the Fermi level is 38.49 states/eV/cell.



## ii
Compound: NdEuBi2
Source: Alexandria via LeMat-Bulk
Functional: PBE
Structure: relaxed

The space group is P4/mmm (No. 123) and the conventional cell measures 6.0167, 6.0167 and 3.5242 Å, with angles of 90.00, 90.00 and 90.00 degrees. The inequivalent atoms are Nd at (0.0000, 0.0000, 0.0000), Eu at (0.5000, 0.5000, 0.0000) and Bi at (0.0000, 0.5000, 0.5000).

As for the calculated volume: 127.58 Å³/f.u. The total magnetization comes out at 1.72 μB/atom. The density of states at the Fermi level is 8.52 states/eV/cell.



Most stable: i. Least stable: ii.



## i
Compound: EuNpBi2
Source: Alexandria via LeMat-Bulk
Functional: PBE
Structure: relaxed

The space group is P4/mmm (No. 123) and the conventional cell measures 5.9932, 5.9932 and 3.3830 Å, with angles of 90.00, 90.00 and 90.00 degrees. The inequivalent atoms are Eu at (0.0000, 0.0000, 0.0000), Np at (0.5000, 0.5000, 0.0000) and Bi at (0.0000, 0.5000, 0.5000).

As for the calculated volume: 121.51 Å³/f.u. The total magnetization comes out at 0.66 μB/atom. The density of states at the Fermi level is 19.42 states/eV/cell.



## ii
Compound: EuNpBi2
Source: Alexandria via LeMat-Bulk
Functional: PBE
Structure: relaxed

The space group is P4/mmm (No. 123) and the conventional cell measures 3.7273, 3.7273 and 8.7632 Å, with angles of 90.00, 90.00 and 90.00 degrees. The inequivalent atoms are Eu at (0.0000, 0.0000, 0.0000), Np at (0.0000, 0.0000, 0.5000) and Bi at (0.5000, 0.5000, 0.2584).

As for the calculated volume: 121.75 Å³/f.u. The total magnetization comes out at 2.92 μB/atom. The density of states at the Fermi level is 10.20 states/eV/cell.



Most stable: ii. Least stable: i.



## i
Compound: Eu2BiO
Source: Alexandria via LeMat-Bulk
Functional: PBE
Structure: relaxed

The space group is R-3m (No. 166, hexagonal axes) and the conventional cell measures 3.7822, 3.7822 and 23.6570 Å, with angles of 90.00, 90.00 and 120.00 degrees. The inequivalent atoms are Eu at (0.0000, 0.0000, 0.2246), Bi at (0.0000, 0.0000, 0.0000) and O at (0.0000, 0.0000, 0.5000).

As for the calculated volume: 97.69 Å³/f.u. The total magnetization comes out at 3.55 μB/atom. The density of states at the Fermi level is 3.00 states/eV/cell.



## ii
Compound: Eu2BiO
Source: Alexandria via LeMat-Bulk
Functional: PBE
Structure: relaxed

The space group is P4/mmm (No. 123) and the conventional cell measures 3.3584, 3.3584 and 8.0874 Å, with angles of 90.00, 90.00 and 90.00 degrees. The inequivalent atoms are Eu at (0.0000, 0.0000, 0.1868), Bi at (0.5000, 0.5000, 0.5000) and O at (0.5000, 0.5000, 0.0000).

As for the calculated volume: 91.22 Å³/f.u. The total magnetization comes out at 3.60 μB/atom. The density of states at the Fermi level is 1.13 states/eV/cell.



Most stable: i. Least stable: ii.



## i
Compound: SrEuBiSbO6
Source: Alexandria via LeMat-Bulk
Functional: PBE
Structure: relaxed

The space group is F-43m (No. 216) and the conventional cell measures 8.5543, 8.5543 and 8.5543 Å, with angles of 90.00, 90.00 and 90.00 degrees. The inequivalent atoms are Sr at (0.0000, 0.0000, 0.0000), Eu at (0.0000, 0.0000, 0.5000), Bi at (0.2500, 0.2500, 0.7500), Sb at (0.2500, 0.2500, 0.2500) and O at (0.0164, 0.2500, 0.2500).

As for the calculated volume: 156.49 Å³/f.u. The total magnetization comes out at 0.70 μB/atom. The density of states at the Fermi level is 36.85 states/eV/cell.



## ii
Compound: SrEuBiSbO6
Source: Alexandria via LeMat-Bulk
Functional: PBE
Structure: relaxed

The space group is P-1 (No. 2) and the conventional cell measures 5.8958, 6.0874 and 8.4402 Å, with angles of 90.09, 90.12 and 90.02 degrees. The inequivalent atoms are Sr at (0.0123, 0.4509, 0.2518), Eu at (0.4832, 0.9501, 0.2498), Bi at (0.0000, 0.0000, 0.5000), Bi at (0.5000, 0.5000, 0.0000), Sb at (0.0000, 0.0000, 0.0000), Sb at (0.5000, 0.5000, 0.5000), O at (0.1125, 0.9620, 0.7715), O at (0.1827, 0.7270, 0.0613), O at (0.2206, 0.6854, 0.4527), O at (0.2774, 0.1858, 0.0554), O at (0.3230, 0.2203, 0.4396) and O at (0.4012, 0.4519, 0.7295).

As for the calculated volume: 151.46 Å³/f.u. The total magnetization comes out at 0.69 μB/atom. The density of states at the Fermi level is 30.31 states/eV/cell.



Most stable: ii. Least stable: i.



## i
Compound: EuPuBi
Source: Alexandria via LeMat-Bulk
Functional: PBE
Structure: relaxed

The space group is P-6m2 (No. 187) and the conventional cell measures 5.5366, 5.5366 and 3.3971 Å, with angles of 90.00, 90.00 and 120.00 degrees. The inequivalent atoms are Eu at (0.0000, 0.0000, 0.0000), Pu at (0.6667, 0.3333, 0.0000) and Bi at (0.3333, 0.6667, 0.5000).

As for the calculated volume: 90.18 Å³/f.u. The total magnetization comes out at 4.79 μB/atom. The density of states at the Fermi level is 7.98 states/eV/cell.



## ii
Compound: EuPuBi
Source: Alexandria via LeMat-Bulk
Functional: PBE
Structure: relaxed

The space group is I4mm (No. 107) and the conventional cell measures 4.2283, 4.2283 and 10.4539 Å, with angles of 90.00, 90.00 and 90.00 degrees. The inequivalent atoms are Eu at (0.0000, 0.0000, 0.0000), Pu at (0.0000, 0.0000, 0.6928) and Bi at (0.0000, 0.0000, 0.3410).

As for the calculated volume: 93.45 Å³/f.u. The total magnetization comes out at 4.66 μB/atom. The density of states at the Fermi level is 21.77 states/eV/cell.



Most stable: ii. Least stable: i.



## i
Compound: EuBiRh2
Source: Alexandria via LeMat-Bulk
Functional: PBE
Structure: relaxed

The space group is Fm-3m (No. 225) and the conventional cell measures 6.8616, 6.8616 and 6.8616 Å, with angles of 90.00, 90.00 and 90.00 degrees. The inequivalent atoms are Eu at (0.0000, 0.0000, 0.0000), Bi at (0.0000, 0.0000, 0.5000) and Rh at (0.2500, 0.2500, 0.2500).

As for the calculated volume: 80.76 Å³/f.u. The total magnetization comes out at 1.65 μB/atom. The density of states at the Fermi level is 47.74 states/eV/cell.



## ii
Compound: EuBiRh2
Source: Alexandria via LeMat-Bulk
Functional: PBE
Structure: relaxed

The space group is P4/mmm (No. 123) and the conventional cell measures 4.6215, 4.6215 and 3.8016 Å, with angles of 90.00, 90.00 and 90.00 degrees. The inequivalent atoms are Eu at (0.0000, 0.0000, 0.0000), Bi at (0.5000, 0.5000, 0.0000) and Rh at (0.0000, 0.5000, 0.5000).

As for the calculated volume: 81.20 Å³/f.u. The total magnetization comes out at 1.70 μB/atom. The density of states at the Fermi level is 13.80 states/eV/cell.



Most stable: ii. Least stable: i.